{"formula": "Fe5Co2ReW2", "functional": "PBE-GGA", "state": "optimized geometry", "e_form_ev_per_atom": 0.182, "dos_ef_per_ev_fu": 10.12, "energy_ev_per_atom": -9.3060, "magmom_total_mub_per_fu": 7.0, "lattice_angstrom": [[-2.971, -2.242, 0.694], [5.023, -6.193, 1.501], [0.246, 2.098, 7.834]], "species": ["Fe", "Fe", "Fe", "Fe", "Fe", "Fe", "Fe", "Fe", "Fe", "Fe", "Co", "Co", "Co", "Co", "Re", "Re", "W", "W", "W", "W"], "frac_coords": [[0.500, 0.205, 0.063], [0.500, 0.795, 0.937], [0.500, 0.063, 0.795], [0.500, 0.705, 0.437], [0.500, 0.937, 0.205], [0.500, 0.295, 0.563], [0.500, 0.563, 0.705], [0.500, 0.437, 0.295], [0.500, 0.500, 0.000], [0.500, 0.000, 0.500], [0.000, 0.123, 0.623], [0.000, 0.877, 0.377], [0.000, 0.623, 0.877], [0.000, 0.377, 0.123], [0.000, 0.000, 0.000], [0.000, 0.500, 0.500], [0.000, 0.673, 0.173], [0.000, 0.327, 0.827], [0.000, 0.173, 0.327], [0.000, 0.827, 0.673]]}

=====

{"formula": "Fe4Co5Rh", "functional": "PBE-GGA", "state": "optimized geometry", "e_form_ev_per_atom": 0.189, "dos_ef_per_ev_fu": 10.60, "energy_ev_per_atom": -7.4842, "magmom_total_mub_per_fu": 19.9, "lattice_angstrom": [[3.798, 0.000, -1.206], [-0.100, 7.279, -0.314], [-0.613, -0.197, 4.654]], "species": ["Fe", "Fe", "Fe", "Fe", "Co", "Co", "Co", "Co", "Co", "Rh"], "frac_coords": [[0.681, 0.755, 0.362], [0.044, 0.292, 0.088], [0.319, 0.245, 0.638], [0.956, 0.708, 0.912], [0.180, 0.943, 0.359], [0.225, 0.588, 0.450], [0.775, 0.412, 0.550], [0.500, 0.500, 0.000], [0.820, 0.057, 0.641], [0.500, 0.000, 0.000]]}

=====

{"formula": "Fe2CoRh", "functional": "PBE-GGA", "state": "optimized geometry", "e_form_ev_per_atom": 0.095, "dos_ef_per_ev_fu": 6.60, "energy_ev_per_atom": -7.7509, "relative_energy_mev_per_atom": 141, "magmom_total_mub_per_fu": 8.0, "lattice_angstrom": [[-0.657, 4.502, 6.967], [-2.755, 2.888, 7.301], [-0.323, 2.086, 8.048]], "species": ["Co", "Fe", "Fe", "Rh"], "frac_coords": [[0.745, 0.745, 0.745], [0.001, 0.001, 0.001], [0.253, 0.253, 0.253], [0.500, 0.500, 0.500]]}

=====

{"formula": "Fe2CoRh", "functional": "PBE-GGA", "state": "optimized geometry", "e_form_ev_per_atom": 0.049, "dos_ef_per_ev_fu": 5.16, "energy_ev_per_atom": -7.7969, "relative_energy_mev_per_atom": 95, "magmom_total_mub_per_fu": 7.8, "lattice_angstrom": [[-2.482, -0.496, 0.786], [1.177, -3.811, -3.157], [2.693, -4.078, 5.925]], "species": ["Fe", "Fe", "Fe", "Fe", "Co", "Co", "Rh", "Rh"], "frac_coords": [[0.369, 0.738, 0.524], [0.631, 0.262, 0.476], [0.631, 0.262, 0.024], [0.369, 0.738, 0.976], [0.244, 0.487, 0.250], [0.756, 0.513, 0.750], [0.971, 0.941, 0.250], [0.029, 0.059, 0.750]]}